# 1
Here is crystalline AcSmDy at its relaxed geometry from the Alexandria database. Energies are from GGA-PBE.

Lattice parameters (Å, degrees): 6.5600 6.5438 12.0900 90.00 90.00 122.80
With the nearest neighbours (Å) after each atom.
Fractional coordinates of all 12 atoms:
Ac: 0.8434 0.2618 0.1329  5 Dy 3.63-3.79, 5 Sm 3.68-3.80, 1 Ac 3.86
Ac: 0.1566 0.2382 0.8671  5 Dy 3.63-3.79, 5 Sm 3.68-3.80, 1 Ac 3.86
Ac: 0.3434 0.7618 0.3671  5 Dy 3.63-3.79, 5 Sm 3.68-3.80, 1 Ac 3.86
Ac: 0.6566 0.7382 0.6329  5 Dy 3.63-3.79, 5 Sm 3.68-3.80, 1 Ac 3.86
Sm: 0.4897 0.9263 0.8857  4 Dy 3.54-3.67, 1 Sm 3.65, 5 Ac 3.68-3.80
Sm: 0.5103 0.5737 0.1143  4 Dy 3.54-3.67, 1 Sm 3.65, 5 Ac 3.68-3.80
Sm: 0.9897 0.4263 0.6143  4 Dy 3.54-3.67, 1 Sm 3.65, 5 Ac 3.68-3.80
Sm: 0.0103 0.0737 0.3857  4 Dy 3.54-3.67, 1 Sm 3.65, 5 Ac 3.68-3.80
Dy: 0.1575 0.9257 0.1169  1 Dy 3.52, 4 Sm 3.54-3.67, 5 Ac 3.63-3.79
Dy: 0.8425 0.5743 0.8831  1 Dy 3.52, 4 Sm 3.54-3.67, 5 Ac 3.63-3.79
Dy: 0.6575 0.4257 0.3831  1 Dy 3.52, 4 Sm 3.54-3.67, 5 Ac 3.63-3.79
Dy: 0.3425 0.0743 0.6169  1 Dy 3.52, 4 Sm 3.54-3.67, 5 Ac 3.63-3.79

## Properties
Mass density: 8.220 g/cm³
SG: P2_1/c (14)
M_tot: 0.0 Bohr magnetons per cell
DOS(E_F): 15.15 states/eV/cell
Total DFT energy (no corrections): -0.3246 Ry/atom
ΔH_f (0 K): 6 kJ/mol of atoms


# 2
Here is crystalline Ac4PrNi2 at its relaxed geometry from the Alexandria database. Energies are from GGA-PBE.

Lattice parameters (Å, degrees): 7.3152 9.3139 7.5348 112.78 90.00 90.00
With the nearest neighbours (Å) after each atom.
Fractional coordinates of all 14 atoms:
Ac: 0.5011 0.4269 0.7165  4 Ni 2.97-3.07
Ac: 0.2500 0.1985 0.2316  1 Ni 2.79
Ac: 0.7500 0.8015 0.7684  1 Ni 2.79
Ac: 0.9989 0.4269 0.7165  4 Ni 2.97-3.07
Ac: 0.7500 0.9984 0.3235  2 Ni 3.12-3.15
Ac: 0.0011 0.5731 0.2835  4 Ni 2.97-3.07
Ac: 0.4989 0.5731 0.2835  4 Ni 2.97-3.07
Ac: 0.2500 0.0016 0.6765  2 Ni 3.12-3.15
Pr: 0.2500 0.7832 0.0105  1 Ni 2.69
Pr: 0.7500 0.2168 0.9895  1 Ni 2.69
Ni: 0.2500 0.3498 0.9758  5 Ac 2.79-3.05
Ni: 0.7500 0.6502 0.0242  5 Ac 2.79-3.05
Ni: 0.7500 0.3474 0.3765  1 Pr 2.69, 2 Ac 2.99
Ni: 0.2500 0.6526 0.6235  1 Pr 2.69, 2 Ac 2.99

## Properties
Mass density: 8.183 g/cm³
SG: P2_1/m (11)
M_tot: 0.0 Bohr magnetons per cell
DOS(E_F): 15.47 states/eV/cell
Total DFT energy (no corrections): -0.3513 Ry/atom
ΔH_f (0 K): -9 kJ/mol of atoms


# 3
Here is crystalline CdSiAg2 at its relaxed geometry from the Alexandria database. Energies are from GGA-PBE.

Lattice parameters (Å, degrees): 9.4231 9.4231 9.4231 18.25 18.25 18.25
With the nearest neighbours (Å) after each atom.
Fractional coordinates of all 4 atoms:
Ag: 0.0063 0.0063 0.0063  3 Si 2.75, 6 Ag 2.99, 3 Cd 3.03
Ag: 0.4937 0.4937 0.4937  3 Si 2.75, 6 Ag 2.99, 3 Cd 3.03
Cd: 0.2500 0.2500 0.2500  6 Cd 2.99, 6 Ag 3.03
Si: 0.7500 0.7500 0.7500  6 Ag 2.75, 6 Si 2.99

## Properties
Mass density: 8.250 g/cm³
SG: R-3m (166)
Uncorrected formation energy: 0.124 eV/atom
M_tot: 0.0 Bohr magnetons per cell
DOS(E_F): 1.18 states/eV/cell
Total DFT energy (no corrections): -0.2121 Ry/atom


# 4
Here is crystalline Hf4ZnBi at its relaxed geometry from the Alexandria database. Energies are from GGA-PBE.

Lattice parameters (Å, degrees): 3.2447 5.7554 14.5391 92.03 90.00 90.00
With the nearest neighbours (Å) after each atom.
Fractional coordinates of all 12 atoms:
Hf: 0.4990 0.1878 0.3323  1 Zn 2.98, 7 Hf 3.00-3.24, 2 Bi 3.15
Hf: 0.9990 0.3122 0.1677  1 Zn 2.98, 7 Hf 3.00-3.24, 2 Bi 3.15
Hf: 0.5010 0.8122 0.6677  1 Zn 2.98, 7 Hf 3.00-3.24, 2 Bi 3.15
Hf: 0.0010 0.6878 0.8323  1 Zn 2.98, 7 Hf 3.00-3.24, 2 Bi 3.15
Hf: 0.9990 0.6556 0.3298  7 Hf 3.02-3.24, 2 Zn 3.12, 1 Bi 3.12
Hf: 0.4990 0.8444 0.1702  7 Hf 3.02-3.24, 2 Zn 3.12, 1 Bi 3.12
Hf: 0.0010 0.3444 0.6702  7 Hf 3.02-3.24, 2 Zn 3.12, 1 Bi 3.12
Hf: 0.5010 0.1556 0.8298  7 Hf 3.02-3.24, 2 Zn 3.12, 1 Bi 3.12
Zn: 0.5000 0.5000 0.5000  6 Hf 2.98-3.12, 2 Zn 3.24, 4 Bi 3.30
Zn: 0.0000 0.0000 0.0000  6 Hf 2.98-3.12, 2 Zn 3.24, 4 Bi 3.30
Bi: 0.0000 0.0000 0.5000  6 Hf 3.12-3.15, 2 Bi 3.24, 4 Zn 3.30
Bi: 0.5000 0.5000 0.0000  6 Hf 3.12-3.15, 2 Bi 3.24, 4 Zn 3.30

## Properties
Mass density: 12.097 g/cm³
SG: C2/m (12)
M_tot: 0.0 Bohr magnetons per cell
DOS(E_F): 7.41 states/eV/cell
Total DFT energy (no corrections): -0.5553 Ry/atom
ΔH_f (0 K): -6 kJ/mol of atoms